# 1
Here is an optimized crystal structure of HfReSi from Alexandria via LeMat-Bulk. Energies are from PBE.

Calculated values
SG	I4mm
raw formation energy	-0.37	eV/atom

a = 3.2034 Å, b = 3.2034 Å, c = 5.2644 Å
α = 107.71°, β = 107.71°, γ = 90.00°
Element x y z (fractional)
1 Hf 0.6154 0.6154 0.2309
2 Si 0.3085 0.3085 0.6170
3 Re 0.9261 0.9261 0.8521


# 2
Here is an optimized crystal structure of CeDy2Hg6 from Alexandria via LeMat-Bulk. Energies are from PBE.

Calculated values
energy relative to the elements	-371	meV per atom
SG	P6/mmm

a = 3.4131 Å, b = 8.6725 Å, c = 8.6725 Å
α = 120.00°, β = 90.00°, γ = 90.00°
Last column: magnetic moment on the atom in μB.
Element x y z (fractional)
1 Hg 0.5000 0.3356 0.3356  0.00
2 Hg 0.5000 0.0000 0.6644  0.00
3 Hg 0.5000 0.6644 0.0000  0.00
4 Hg 0.5000 0.3356 0.0000  0.00
5 Hg 0.5000 0.0000 0.3356  0.00
6 Hg 0.5000 0.6644 0.6644  0.00
7 Ce 0.0000 0.0000 0.0000  0.97
8 Dy 0.0000 0.3333 0.6667  0.00
9 Dy 0.0000 0.6667 0.3333  0.00


# 3
Here is an optimized crystal structure of NaMgOs2O8 from Alexandria via LeMat-Bulk. Energies are from PBE.

Calculated values
SG	C2/m
raw formation energy	-1.35	eV/atom

a = 4.8243 Å, b = 4.8243 Å, c = 6.2031 Å
α = 89.81°, β = 89.81°, γ = 88.13°
Element x y z (fractional)
1 O 0.2337 0.7687 0.7742
2 O 0.7687 0.2337 0.7742
3 O 0.7663 0.2313 0.2258
4 O 0.3310 0.3310 0.5014
5 O 0.6955 0.6955 0.9999
6 O 0.6690 0.6690 0.4986
7 O 0.3045 0.3045 0.0001
8 O 0.2313 0.7663 0.2258
9 Mg 0.0000 0.0000 0.0000
10 Os 0.5004 0.5004 0.2442
11 Os 0.4996 0.4996 0.7558
12 Na 0.0000 0.0000 0.5000


# 4
Here is an optimized crystal structure of CdGaSbRu2 from Alexandria via LeMat-Bulk. Energies are from PBE.

Calculated values
SG	P4/mmm
raw formation energy	1.26	eV/atom

a = 4.9030 Å, b = 5.3214 Å, c = 4.9030 Å
α = 90.00°, β = 90.00°, γ = 90.00°
Last column: magnetic moment on the atom in μB.
Element x y z (fractional)
1 Cd 0.0000 0.5000 0.0000  0.01
2 Ru 0.0000 0.0000 0.5000  0.85
3 Ru 0.5000 0.0000 0.0000  0.80
4 Ga 0.5000 0.5000 0.5000  0.02
5 Sb 0.0000 0.0000 0.0000  -0.02


# 5
Here is an optimized crystal structure of Pr3Dy4Tm from Alexandria via LeMat-Bulk. Energies are from PBE.

Calculated values
energy relative to the elements	128	meV per atom
SG	Immm

a = 3.5003 Å, b = 8.9507 Å, c = 8.9507 Å
α = 81.99°, β = 78.72°, γ = 78.72°
Element x y z (fractional)
1 Tm 0.5000 0.0000 0.0000
2 Dy 0.6344 0.6207 0.1104
3 Dy 0.3656 0.8896 0.3793
4 Dy 0.6344 0.1104 0.6207
5 Dy 0.3656 0.3793 0.8896
6 Pr 0.2425 0.7575 0.7575
7 Pr 0.7575 0.2425 0.2425
8 Pr 0.0000 0.5000 0.5000


# 6
Here is an optimized crystal structure of HoZn4Ga2 from Alexandria via LeMat-Bulk. Energies are from PBE.

Calculated values
energy relative to the elements	-273	meV per atom
SG	Cmmm

a = 4.0483 Å, b = 4.1028 Å, c = 7.5901 Å
α = 105.68°, β = 90.00°, γ = 90.00°
Element x y z (fractional)
1 Ho 0.0000 0.0000 0.0000
2 Zn 0.0000 0.3097 0.6195
3 Zn 0.0000 0.6903 0.3805
4 Zn 0.5000 0.8147 0.6294
5 Zn 0.5000 0.1853 0.3706
6 Ga 0.5000 0.4168 0.8336
7 Ga 0.5000 0.5832 0.1664


# 7
Here is an optimized crystal structure of DyTmHgC from Alexandria via LeMat-Bulk. Energies are from PBE.

Calculated values
energy relative to the elements	-400	meV per atom
SG	R3m

a = 3.5737 Å, b = 3.5729 Å, c = 8.0744 Å
α = 90.00°, β = 102.81°, γ = 119.99°
Element x y z (fractional)
1 C 0.3042 0.5500 0.8696
2 Hg 0.9660 0.3811 0.3615
3 Dy 0.5228 0.1593 0.6977
4 Tm 0.0850 0.9404 0.0409


# 8
Here is an optimized crystal structure of Th4Pb3N2 from Alexandria via LeMat-Bulk. Energies are from PBE.

Calculated values
SG	C2/m
raw formation energy	-0.86	eV/atom

a = 4.1589 Å, b = 7.6282 Å, c = 8.6769 Å
α = 72.57°, β = 76.13°, γ = 74.18°
Element x y z (fractional)
1 Pb 0.4039 0.5022 0.6900
2 Pb 0.5961 0.4978 0.3100
3 Pb 0.0000 0.0000 0.0000
4 N 0.3045 0.0233 0.3677
5 N 0.6955 0.9767 0.6323
6 Th 0.6924 0.7472 0.8680
7 Th 0.1251 0.1544 0.5954
8 Th 0.8749 0.8456 0.4046
9 Th 0.3076 0.2528 0.1320


# 9
Here is an optimized crystal structure of Dy4ZrCu5 from Alexandria via LeMat-Bulk. Energies are from PBE.

Calculated values
energy relative to the elements	-213	meV per atom
SG	P4/mmm

a = 3.4213 Å, b = 3.4213 Å, c = 17.2159 Å
α = 90.00°, β = 90.00°, γ = 90.00°
Last column: magnetic moment on the atom in μB.
Element x y z (fractional)
1 Cu 0.5000 0.5000 0.5000  0.00
2 Cu 0.5000 0.5000 0.9145  0.04
3 Cu 0.5000 0.5000 0.0855  0.04
4 Cu 0.5000 0.5000 0.7045  0.00
5 Cu 0.5000 0.5000 0.2955  0.00
6 Dy 0.0000 0.0000 0.6024  -0.01
7 Dy 0.0000 0.0000 0.3976  -0.01
8 Dy 0.0000 0.0000 0.8066  0.05
9 Dy 0.0000 0.0000 0.1934  0.05
10 Zr 0.0000 0.0000 0.0000  0.31


# 10
Here is an optimized crystal structure of Th2ZnNi2Pt5 from Alexandria via LeMat-Bulk. Energies are from PBE.

Calculated values
energy relative to the elements	-891	meV per atom
SG	P4/mbm

a = 4.0383 Å, b = 9.2984 Å, c = 9.2984 Å
α = 90.00°, β = 90.00°, γ = 90.00°
Element x y z (fractional)
1 Pt 0.5000 0.7052 0.4308
2 Pt 0.5000 0.5000 0.0000
3 Pt 0.5000 0.2948 0.5692
4 Pt 0.5000 0.5692 0.7052
5 Pt 0.5000 0.9308 0.2052
6 Pt 0.5000 0.0000 0.5000
7 Pt 0.5000 0.4308 0.2948
8 Pt 0.5000 0.2052 0.0692
9 Pt 0.5000 0.0692 0.7948
10 Pt 0.5000 0.7948 0.9308
11 Th 0.0000 0.3241 0.8241
12 Th 0.0000 0.6759 0.1759
13 Th 0.0000 0.8241 0.6759
14 Th 0.0000 0.1759 0.3241
15 Ni 0.0000 0.3774 0.1226
16 Ni 0.0000 0.6226 0.8774
17 Ni 0.0000 0.1226 0.6226
18 Ni 0.0000 0.8774 0.3774
19 Zn 0.0000 0.0000 0.0000
20 Zn 0.0000 0.5000 0.5000


# 11
Here is an optimized crystal structure of VAgPt2 from Alexandria via LeMat-Bulk. Energies are from PBE.

Calculated values
energy relative to the elements	118	meV per atom
SG	I-42d

a = 7.1133 Å, b = 7.1133 Å, c = 5.7217 Å
α = 51.57°, β = 51.57°, γ = 90.00°
Last column: magnetic moment on the atom in μB.
Element x y z (fractional)
1 V 0.2500 0.7500 0.5000  0.59
2 V 0.5000 0.5000 0.0000  0.59
3 Pt 0.8750 0.8348 0.7500  0.00
4 Pt 0.5848 0.1250 0.2500  0.00
5 Pt 0.1652 0.6250 0.2500  0.00
6 Pt 0.3750 0.4152 0.7500  0.00
7 Ag 0.7500 0.2500 0.5000  0.00
8 Ag 0.0000 0.0000 0.0000  0.00


# 12
Here is an optimized crystal structure of Y2InS from Alexandria via LeMat-Bulk. Energies are from PBE.

Calculated values
SG	C2/m
raw formation energy	-1.24	eV/atom

a = 3.8244 Å, b = 3.8325 Å, c = 8.2410 Å
α = 103.31°, β = 90.00°, γ = 119.93°
Element x y z (fractional)
1 Y 0.7338 0.9676 0.7039
2 Y 0.2662 0.0324 0.2961
3 S 0.0000 0.5000 0.5000
4 In 0.5000 0.5000 0.0000


# 13
Here is an optimized crystal structure of HgSBrCl2 from Alexandria via LeMat-Bulk. Energies are from PBE.

Calculated values
SG	P4/mmm
raw formation energy	0.40	eV/atom

a = 5.1887 Å, b = 5.1887 Å, c = 5.3364 Å
α = 90.00°, β = 90.00°, γ = 90.00°
Last column: magnetic moment on the atom in μB.
Element x y z (fractional)
1 Br 0.5000 0.5000 0.5000  0.73
2 Cl 0.5000 0.0000 0.0000  0.13
3 Cl 0.0000 0.5000 0.0000  0.13
4 Hg 0.0000 0.0000 0.0000  0.03
5 S 0.0000 0.0000 0.5000  0.89